Compound: KTl6In4
Source: Alexandria via LeMat-Bulk
Functional: PBE
Structure: optimized geometry

Cell: 9.1760 9.1760 4.8778 Å, 90.00 90.00 120.00°
Space group P-6m2 (No. 187)
Inequivalent atoms, fractional coordinates:
K (0.0000, 0.0000, 0.0000) (multiplicity 1)
Tl (0.1975, 0.3950, 0.5000) (multiplicity 3)
Tl (0.5330, 0.0661, 0.0000) (multiplicity 3)
In (0.3333, 0.6667, 0.0000) (multiplicity 1)
In (0.4188, 0.2094, 0.5000) (multiplicity 3)

Calculated values
energy of formation from the pure elements	-0.139	eV/f.u.
N(E_F)	4.90	states/eV/f.u.
total moment	0.000	μB per formula unit

=====

Compound: K3Tl2In5
Source: Alexandria via LeMat-Bulk
Functional: PBE
Structure: optimized geometry

Cell: 13.445 14.686 7.152 Å, 90.00 90.00 90.00°
Space group Ibam (No. 72)
Inequivalent atoms, fractional coordinates:
K (0.000, 0.000, 0.250) (multiplicity 4)
K (0.231, 0.383, 0.000) (multiplicity 8)
Tl (0.152, 0.147, 0.000) (multiplicity 8)
In (0.000, 0.251, 0.250) (multiplicity 8)
In (0.000, 0.500, 0.250) (multiplicity 4)
In (0.127, 0.371, 0.500) (multiplicity 8)

Calculated values
energy of formation from the pure elements	-0.561	eV/f.u.
N(E_F)	5.22	states/eV/f.u.
total moment	0.000	μB per formula unit

=====

Compound: KTlIn
Source: Alexandria via LeMat-Bulk
Functional: PBE
Structure: optimized geometry

Cell: 5.3579 5.3579 4.0292 Å, 90.00 90.00 120.00°
Space group P-6m2 (No. 187)
Inequivalent atoms, fractional coordinates:
K (0.0000, 0.0000, 0.0000) (multiplicity 1)
Tl (0.6667, 0.3333, 0.5000) (multiplicity 1)
In (0.3333, 0.6667, 0.5000) (multiplicity 1)

Calculated values
energy of formation from the pure elements	-0.249	eV/f.u.
N(E_F)	0.80	states/eV/f.u.
total moment	0.000	μB per formula unit
offset from the most stable computed form	4.5	kJ/mol of atoms

=====

Compound: KTlIn3
Source: Alexandria via LeMat-Bulk
Functional: PBE
Structure: optimized geometry

Cell: 4.949 4.950 7.422 Å, 70.65 70.61 89.87°
Space group P1 (No. 1)
Inequivalent atoms, fractional coordinates:
K (0.000, 0.000, 0.000) (multiplicity 1)
Tl (0.608, 0.608, 0.783) (multiplicity 1)
In (0.250, 0.753, 0.498) (multiplicity 1)
In (0.383, 0.385, 0.232) (multiplicity 1)
In (0.751, 0.250, 0.498) (multiplicity 1)

Calculated values
energy of formation from the pure elements	-0.467	eV/f.u.
N(E_F)	1.63	states/eV/f.u.
total moment	0.000	μB per formula unit
offset from the most stable computed form	0.0	kJ/mol of atoms